No. 1
Entry from the Alexandria database: a geometry-optimized LaSc2Hg2 structure (PBE).

Cell: 4.6469 4.6469 12.5804 Å, 90.00 90.00 90.00°
Closest atoms and distances in Å follow each position.
Fractional positions:
La1 0.0000 0.0000 0.0000  8 Hg 3.58, 8 Sc 3.91
La2 0.5000 0.5000 0.5000  8 Hg 3.58, 8 Sc 3.91
Sc1 0.0000 0.5000 0.2500  4 Hg 2.90
Sc2 0.0000 0.5000 0.7500  4 Hg 2.90
Sc3 0.5000 0.0000 0.2500  4 Hg 2.90
Sc4 0.5000 0.0000 0.7500  4 Hg 2.90
Hg1 0.0000 0.0000 0.3879  1 Hg 2.82, 4 Sc 2.90
Hg2 0.0000 0.0000 0.6121  1 Hg 2.82, 4 Sc 2.90
Hg3 0.5000 0.5000 0.1121  1 Hg 2.82, 4 Sc 2.90
Hg4 0.5000 0.5000 0.8879  1 Hg 2.82, 4 Sc 2.90

SG ... I4/mmm, No. 139
Excess energy over the best structure of this formula in the dataset ... 31.4 meV/atom
Energy ... -3.91 eV per atom
Energy of formation from the pure elements ... -0.275 eV/atom
Mass density ... 7.70 g cm⁻³

No. 2
Entry from the Alexandria database: a geometry-optimized La2ScHg2 structure (PBE).

Cell: 4.5741 4.5741 14.4387 Å, 90.00 90.00 90.00°
Closest atoms and distances in Å follow each position.
Fractional positions:
La1 0.0000 0.5000 0.2500  4 Hg 3.21, 4 La 3.23
La2 0.0000 0.5000 0.7500  4 Hg 3.21, 4 La 3.23
La3 0.5000 0.0000 0.2500  4 Hg 3.21, 4 La 3.23
La4 0.5000 0.0000 0.7500  4 Hg 3.21, 4 La 3.23
Sc1 0.0000 0.0000 0.0000  8 Hg 3.50
Sc2 0.5000 0.5000 0.5000  8 Hg 3.50
Hg1 0.0000 0.0000 0.4065  1 Hg 2.70
Hg2 0.0000 0.0000 0.5935  1 Hg 2.70
Hg3 0.5000 0.5000 0.0935  1 Hg 2.70
Hg4 0.5000 0.5000 0.9065  1 Hg 2.70

SG ... I4/mmm, No. 139
Excess energy over the best structure of this formula in the dataset ... 331.9 meV/atom
Energy ... -3.34 eV per atom
Energy of formation from the pure elements ... 0.017 eV/atom
Mass density ... 7.96 g cm⁻³

No. 3
Entry from the Alexandria database: a geometry-optimized LaScHg structure (PBE).

Cell: 5.0743 12.5978 5.0662 Å, 90.00 90.00 90.00°
Closest atoms and distances in Å follow each position.
Fractional positions:
La1 0.0000 0.1676 0.0000  2 La 3.28, 4 Hg 3.30, 6 Sc 3.49-3.60
La2 0.0000 0.8324 0.0000  2 La 3.28, 4 Hg 3.30, 6 Sc 3.49-3.60
La3 0.5000 0.3324 0.0000  2 La 3.28, 4 Hg 3.30, 6 Sc 3.49-3.60
La4 0.5000 0.6676 0.0000  2 La 3.28, 4 Hg 3.30, 6 Sc 3.49-3.60
Sc1 0.0000 0.3576 0.5000  4 Hg 3.10-3.11
Sc2 0.0000 0.6424 0.5000  4 Hg 3.10-3.11
Sc3 0.5000 0.1424 0.5000  4 Hg 3.10-3.11
Sc4 0.5000 0.8576 0.5000  4 Hg 3.10-3.11
Hg1 0.0000 0.0000 0.5000  4 Sc 3.11, 4 La 3.30
Hg2 0.0000 0.5000 0.0000  4 Sc 3.10, 4 La 3.30
Hg3 0.5000 0.0000 0.0000  4 Sc 3.10, 4 La 3.30
Hg4 0.5000 0.5000 0.5000  4 Sc 3.11, 4 La 3.30

SG ... Cmmm, No. 65
Excess energy over the best structure of this formula in the dataset ... 77.2 meV/atom
Energy ... -4.12 eV per atom
Energy of formation from the pure elements ... -0.264 eV/atom
Mass density ... 7.88 g cm⁻³

No. 4
Entry from the Alexandria database: a geometry-optimized La2ScHg3 structure (PBE).

Cell: 3.6393 3.6393 12.1412 Å, 90.00 90.00 90.00°
Closest atoms and distances in Å follow each position.
Fractional positions:
La1 0.0000 0.0000 0.1813  8 Hg 3.39-3.42, 4 La 3.64
La2 0.0000 0.0000 0.8187  8 Hg 3.39-3.42, 4 La 3.64
Sc1 0.0000 0.0000 0.5000  8 Hg 3.04
Hg1 0.5000 0.5000 0.0000  8 La 3.39, 4 Hg 3.64
Hg2 0.5000 0.5000 0.3663  4 Sc 3.04, 1 Hg 3.25
Hg3 0.5000 0.5000 0.6337  4 Sc 3.04, 1 Hg 3.25

SG ... P4/mmm, No. 123
Energy ... -3.31 eV per atom
Energy of formation from the pure elements ... -0.459 eV/atom
Mass density ... 9.55 g cm⁻³

No. 5
Entry from the Alexandria database: a geometry-optimized LaScHg2 structure (PBE).

Cell: 4.5188 4.5188 10.1959 Å, 90.00 90.00 90.00°
Closest atoms and distances in Å follow each position.
Fractional positions:
La1 0.0000 0.0000 0.0000  8 Hg 3.20-3.41, 4 Sc 3.41
La2 0.5000 0.5000 0.5000  8 Hg 3.20-3.41, 4 Sc 3.41
Sc1 0.0000 0.5000 0.7500  8 Hg 3.20-3.41, 4 La 3.41
Sc2 0.5000 0.0000 0.2500  8 Hg 3.20-3.41, 4 La 3.41
Hg1 0.0000 0.0000 0.5000  4 La 3.20, 4 Hg 3.41, 4 Sc 3.41
Hg2 0.0000 0.5000 0.2500  4 Sc 3.20, 4 Hg 3.41, 4 La 3.41
Hg3 0.5000 0.0000 0.7500  4 Sc 3.20, 4 Hg 3.41, 4 La 3.41
Hg4 0.5000 0.5000 0.0000  4 La 3.20, 4 Hg 3.41, 4 Sc 3.41

SG ... I-4m2, No. 119
Excess energy over the best structure of this formula in the dataset ... 209.7 meV/atom
Energy ... -3.21 eV per atom
Energy of formation from the pure elements ... -0.244 eV/atom
Mass density ... 9.33 g cm⁻³

No. 6
Entry from the Alexandria database: a geometry-optimized La2ScHg structure (PBE).

Cell: 12.7506 3.7566 5.5693 Å, 90.00 115.88 90.00°
Closest atoms and distances in Å follow each position.
Fractional positions:
La1 0.0000 0.0000 0.0000  2 Hg 3.39, 4 Sc 3.42-3.43, 6 La 3.74-3.76
La2 0.2181 0.0000 0.7171  4 Hg 3.37-3.38, 2 Sc 3.69, 6 La 3.74-3.76
La3 0.5000 0.5000 0.0000  2 Hg 3.39, 4 Sc 3.42-3.43, 6 La 3.74-3.76
La4 0.7181 0.5000 0.7171  4 Hg 3.37-3.38, 2 Sc 3.69, 6 La 3.74-3.76
Sc1 0.4417 0.0000 0.4417  2 Hg 2.93
Sc2 0.9417 0.5000 0.4417  2 Hg 2.93
Hg1 0.2461 0.5000 0.2448  2 Sc 2.93
Hg2 0.7461 0.0000 0.2448  2 Sc 2.93

SG ... Cm, No. 8
Energy ... -4.34 eV per atom
Energy of formation from the pure elements ... -0.223 eV/atom
Mass density ... 7.24 g cm⁻³

No. 7
Entry from the Alexandria database: a geometry-optimized LaSc3Hg2 structure (PBE).

Cell: 4.9318 9.0826 6.7654 Å, 90.00 90.00 90.00°
Closest atoms and distances in Å follow each position.
Fractional positions:
La1 0.0000 0.0489 0.0000  5 Hg 3.22-3.52, 5 Sc 3.50-3.57, 2 La 3.50
La2 0.0000 0.9511 0.5000  5 Hg 3.22-3.52, 5 Sc 3.50-3.57, 2 La 3.50
Sc1 0.0000 0.3360 0.6559  4 Hg 2.80-2.97
Sc2 0.0000 0.6640 0.1559  4 Hg 2.80-2.97
Sc3 0.5000 0.1979 0.3090  3 Hg 2.90-2.92
Sc4 0.5000 0.4488 0.9660  3 Hg 3.02-3.14, 2 Sc 3.25-3.38
Sc5 0.5000 0.5512 0.4660  3 Hg 3.02-3.14, 2 Sc 3.25-3.38
Sc6 0.5000 0.8021 0.8090  3 Hg 2.90-2.92
Hg1 0.0000 0.3601 0.2285  4 Sc 2.80-2.92
Hg2 0.0000 0.6399 0.7285  4 Sc 2.80-2.92
Hg3 0.5000 0.1644 0.7351  4 Sc 2.90-3.02, 2 La 3.22
Hg4 0.5000 0.8356 0.2351  4 Sc 2.90-3.02, 2 La 3.22

SG ... Pmc2_1, No. 26
Energy ... -4.38 eV per atom
Energy of formation from the pure elements ... -0.294 eV/atom
Mass density ... 7.40 g cm⁻³

No. 8
Entry from the Alexandria database: a geometry-optimized LaScHg2 structure (PBE).

Cell: 3.6436 3.6436 28.4748 Å, 90.00 90.00 120.00°
Closest atoms and distances in Å follow each position.
Fractional positions:
La1 0.0000 0.0000 0.0000  6 Hg 3.38, 6 La 3.64
La2 0.3333 0.6667 0.6667  6 Hg 3.38, 6 La 3.64
La3 0.6667 0.3333 0.3333  6 Hg 3.38, 6 La 3.64
Sc1 0.0000 0.0000 0.5000  6 Hg 2.97
Sc2 0.3333 0.6667 0.1667  6 Hg 2.97
Sc3 0.6667 0.3333 0.8333  6 Hg 2.97
Hg1 0.0000 0.0000 0.2403  3 Sc 2.97
Hg2 0.0000 0.0000 0.7597  3 Sc 2.97
Hg3 0.3333 0.6667 0.4264  3 Sc 2.97
Hg4 0.3333 0.6667 0.9070  3 Sc 2.97
Hg5 0.6667 0.3333 0.0930  3 Sc 2.97
Hg6 0.6667 0.3333 0.5736  3 Sc 2.97

SG ... R-3m, No. 166
Excess energy over the best structure of this formula in the dataset ... 181.2 meV/atom
Energy ... -3.24 eV per atom
Energy of formation from the pure elements ... -0.273 eV/atom
Mass density ... 8.90 g cm⁻³

No. 9
Entry from the Alexandria database: a geometry-optimized La3ScHg2 structure (PBE).

Cell: 5.3569 9.7664 6.8715 Å, 90.00 90.00 90.00°
Closest atoms and distances in Å follow each position.
Fractional positions:
La1 0.0000 0.0511 0.0000  3 Hg 3.29, 5 La 3.49-3.60
La2 0.0000 0.3329 0.3120  4 Hg 3.06-3.31
La3 0.0000 0.6671 0.8120  4 Hg 3.06-3.31
La4 0.0000 0.9489 0.5000  3 Hg 3.29, 5 La 3.49-3.60
La5 0.5000 0.1827 0.7040  4 Hg 3.22-3.32, 1 Sc 3.47, 2 La 3.60
La6 0.5000 0.8173 0.2040  4 Hg 3.22-3.32, 1 Sc 3.47, 2 La 3.60
Sc1 0.5000 0.4568 0.0261  3 Hg 3.27-3.28, 3 La 3.47-3.54, 2 Sc 3.54
Sc2 0.5000 0.5432 0.5261  3 Hg 3.27-3.28, 3 La 3.47-3.54, 2 Sc 3.54
Hg1 0.0000 0.3545 0.7924  5 La 3.06-3.31, 2 Sc 3.28
Hg2 0.0000 0.6455 0.2924  5 La 3.06-3.31, 2 Sc 3.28
Hg3 0.5000 0.1563 0.2344  6 La 3.23-3.32, 1 Sc 3.27
Hg4 0.5000 0.8437 0.7344  6 La 3.23-3.32, 1 Sc 3.27

SG ... Pmc2_1, No. 26
Energy ... -3.92 eV per atom
Energy of formation from the pure elements ... -0.297 eV/atom
Mass density ... 7.97 g cm⁻³

No. 10
Entry from the Alexandria database: a geometry-optimized LaSc2Hg2 structure (PBE).

Cell: 8.6487 8.6487 3.2909 Å, 90.00 90.00 90.00°
Closest atoms and distances in Å follow each position.
Fractional positions:
La1 0.0000 0.0000 0.0000  2 La 3.29, 4 Sc 3.39, 8 Hg 3.61
La2 0.5000 0.5000 0.0000  2 La 3.29, 4 Sc 3.39, 8 Hg 3.61
Sc1 0.1294 0.3706 0.0000  6 Hg 2.96-3.09, 3 Sc 3.17-3.29
Sc2 0.3706 0.8706 0.0000  6 Hg 2.96-3.09, 3 Sc 3.17-3.29
Sc3 0.6294 0.1294 0.0000  6 Hg 2.96-3.09, 3 Sc 3.17-3.29
Sc4 0.8706 0.6294 0.0000  6 Hg 2.96-3.09, 3 Sc 3.17-3.29
Hg1 0.1698 0.6698 0.5000  6 Sc 2.96-3.09, 2 Hg 3.29
Hg2 0.3302 0.1698 0.5000  6 Sc 2.96-3.09, 2 Hg 3.29
Hg3 0.6698 0.8302 0.5000  6 Sc 2.96-3.09, 2 Hg 3.29
Hg4 0.8302 0.3302 0.5000  6 Sc 2.96-3.09, 2 Hg 3.29

SG ... P4/mbm, No. 127
Excess energy over the best structure of this formula in the dataset ... 0.0 meV/atom
Energy ... -3.95 eV per atom
Energy of formation from the pure elements ... -0.307 eV/atom
Mass density ... 8.50 g cm⁻³

No. 11
Entry from the Alexandria database: a geometry-optimized LaScHg2 structure (PBE).

Cell: 3.9362 3.9362 6.9643 Å, 90.00 90.00 90.00°
Closest atoms and distances in Å follow each position.
Fractional positions:
La1 0.0000 0.0000 0.0000  6 Hg 3.27-3.54, 4 Sc 3.57
Sc1 0.5000 0.5000 0.3216  5 Hg 3.00-3.02
Hg1 0.0000 0.0000 0.4916  4 Sc 3.02, 4 Hg 3.32
Hg2 0.5000 0.5000 0.7522  1 Sc 3.00, 4 La 3.27, 4 Hg 3.32

SG ... P4mm, No. 99
Excess energy over the best structure of this formula in the dataset ... 182.1 meV/atom
Energy ... -3.24 eV per atom
Energy of formation from the pure elements ... -0.272 eV/atom
Mass density ... 9.00 g cm⁻³

No. 12
Entry from the Alexandria database: a geometry-optimized La2ScHg2 structure (PBE).

Cell: 8.5268 8.5268 4.0986 Å, 90.00 90.00 90.00°
Closest atoms and distances in Å follow each position.
Fractional positions:
La1 0.1710 0.3290 0.0000  6 Hg 3.15-3.30
La2 0.3290 0.8290 0.0000  6 Hg 3.15-3.30
La3 0.6710 0.1710 0.0000  6 Hg 3.15-3.30
La4 0.8290 0.6710 0.0000  6 Hg 3.15-3.30
Sc1 0.0000 0.0000 0.5000  4 Hg 3.34
Sc2 0.5000 0.5000 0.5000  4 Hg 3.34
Hg1 0.1301 0.6301 0.5000  1 Hg 3.14, 6 La 3.15-3.30, 2 Sc 3.34
Hg2 0.3699 0.1301 0.5000  1 Hg 3.14, 6 La 3.15-3.30, 2 Sc 3.34
Hg3 0.6301 0.8699 0.5000  1 Hg 3.14, 6 La 3.15-3.30, 2 Sc 3.34
Hg4 0.8699 0.3699 0.5000  1 Hg 3.14, 6 La 3.15-3.30, 2 Sc 3.34

SG ... P4/mbm, No. 127
Excess energy over the best structure of this formula in the dataset ... 0.0 meV/atom
Energy ... -3.67 eV per atom
Energy of formation from the pure elements ... -0.315 eV/atom
Mass density ... 8.07 g cm⁻³

No. 13
Entry from the Alexandria database: a geometry-optimized LaSc2Hg2 structure (PBE).

Cell: 8.4360 8.4360 3.5832 Å, 90.00 90.00 90.00°
Closest atoms and distances in Å follow each position.
Fractional positions:
La1 0.0000 0.0000 0.0000  4 Hg 3.31, 2 La 3.58, 8 Sc 3.62
La2 0.5000 0.5000 0.0000  4 Hg 3.31, 2 La 3.58, 8 Sc 3.62
Sc1 0.1674 0.3326 0.5000  6 Hg 3.01-3.10
Sc2 0.3326 0.8326 0.5000  6 Hg 3.01-3.10
Sc3 0.6674 0.1674 0.5000  6 Hg 3.01-3.10
Sc4 0.8326 0.6674 0.5000  6 Hg 3.01-3.10
Hg1 0.1293 0.6293 0.0000  6 Sc 3.01-3.10, 1 Hg 3.09, 2 La 3.31
Hg2 0.3707 0.1293 0.0000  6 Sc 3.01-3.10, 1 Hg 3.09, 2 La 3.31
Hg3 0.6293 0.8707 0.0000  6 Sc 3.01-3.10, 1 Hg 3.09, 2 La 3.31
Hg4 0.8707 0.3707 0.0000  6 Sc 3.01-3.10, 1 Hg 3.09, 2 La 3.31

SG ... P4/mbm, No. 127
Excess energy over the best structure of this formula in the dataset ... 16.0 meV/atom
Energy ... -3.93 eV per atom
Energy of formation from the pure elements ... -0.291 eV/atom
Mass density ... 8.20 g cm⁻³